Material: K2PaBiSe4
Method: DFT, PBE-GGA
State: optimized geometry

The calculation puts the total energy at -4.74 eV/atom. The calculation puts the size of the total moment at 0.19 μB per formula unit. The uncorrected formation energy comes out at -1.056 eV per atom.

The structure belongs to space group P2/m (No. 10); the cell edges are 8.136, 4.241 and 8.256 Å and the angles 90.00°, 108.46° and 90.00°. The inequivalent atoms are K at (0.000, 0.000, 0.000), K at (0.500, 0.500, 0.500), Pa at (0.000, 0.000, 0.500), Bi at (0.500, 0.500, 0.000), Se at (0.092, 0.500, 0.322) and Se at (0.326, 0.000, 0.750).